[1]
{
  "formula": "MgCrSi",
  "functional": "PBE",
  "state": "optimized geometry",
  "cell": [[-2.2149, 1.6354, -3.3057], [-0.0287, -2.0381, -3.7886], [-3.5823, -1.9524, -1.3651]],
  "species": ["Mg", "Si", "Cr"],
  "fractional_positions": [[0.5000, 0.5000, 0.5000], [0.2500, 0.2500, 0.2500], [0.0000, 0.0000, 0.0000]],
  "raw_formation_energy_mev_per_atom": 176,
  "m_tot_mub_per_fu": 3.7
}


[2]
{
  "formula": "MgCr2Si",
  "functional": "PBE",
  "state": "optimized geometry",
  "cell": [[3.6864, 0.0000, 0.0000], [0.0000, 3.6864, 0.0000], [1.8432, 1.8432, 8.9470]],
  "species": ["Si", "Cr", "Mg", "Cr", "Mg", "Cr", "Cr", "Si"],
  "fractional_positions": [[0.0000, 0.0000, 0.0000], [0.0482, 0.6250, 0.2500], [0.5000, 0.5000, 0.0000], [0.3750, 0.2982, 0.7500], [0.2500, 0.7500, 0.5000], [0.8750, 0.9518, 0.7500], [0.7018, 0.1250, 0.2500], [0.7500, 0.2500, 0.5000]],
  "raw_formation_energy_mev_per_atom": 603,
  "m_tot_mub_per_fu": 0.0
}


[3]
{
  "formula": "Mg2CrSi",
  "functional": "PBE",
  "state": "optimized geometry",
  "cell": [[-4.0053, -2.8427, 1.5858], [-1.3925, -4.9178, 0.7175], [0.2543, -1.4076, 4.1289]],
  "species": ["Cr", "Si", "Mg", "Mg"],
  "fractional_positions": [[0.2208, 0.2208, 0.2793], [0.5253, 0.5253, 0.4746], [0.7648, 0.7648, 0.7350], [0.9891, 0.9891, 0.0112]],
  "raw_formation_energy_mev_per_atom": 178,
  "m_tot_mub_per_fu": 1.5
}


[4]
{
  "formula": "Mg2CrSi",
  "functional": "PBE",
  "state": "optimized geometry",
  "cell": [[4.0154, 0.0000, 0.0000], [0.0000, 3.0624, 0.5415], [0.0000, 2.0948, 6.0968]],
  "species": ["Si", "Cr", "Mg", "Mg"],
  "fractional_positions": [[0.5000, 0.2500, 0.2500], [0.5000, 0.7500, 0.7500], [0.0000, 0.5025, 0.4982], [0.0000, 0.9975, 0.0018]],
  "raw_formation_energy_mev_per_atom": 258,
  "m_tot_mub_per_fu": 3.8
}


Number 1: uncorrected energy -16.1 eV for the cell shown. Number 2: uncorrected energy -47.7 eV for the cell shown. Number 3: uncorrected energy -17.5 eV for the cell shown. Number 4: uncorrected energy -17.2 eV for the cell shown.